# 1
Density functional theory data (PBE) for an optimized crystal structure of Sc3TeOs.

Lattice parameters (Å, degrees): 5.0517 5.0517 5.0517 90.00 90.00 90.00
Atoms (fractional coordinates):
Sc1 0.0000 0.0000 0.5000
Sc2 0.0000 0.5000 0.0000
Sc3 0.5000 0.0000 0.0000
Te1 0.5000 0.5000 0.5000
Os1 0.0000 0.0000 0.0000

Properties
Energy relative to the elements, uncorrected   -0.23 eV/atom
SG   Pm-3m (221)

***

# 2
Density functional theory data (PBE) for an optimized crystal structure of ScTe2Os.

Lattice parameters (Å, degrees): 3.9903 3.9903 6.9570 90.00 90.00 90.00
Atoms (fractional coordinates):
Sc1 0.0000 0.0000 0.0000
Te1 0.0000 0.5000 0.7206
Te2 0.5000 0.0000 0.2794
Os1 0.5000 0.5000 0.0000

Properties
Energy above the most stable polymorph in this dataset   55 meV per atom
Energy relative to the elements, uncorrected   -0.30 eV/atom
SG   P-4m2 (115)

***

# 3
Density functional theory data (PBE) for an optimized crystal structure of ScTe2Os.

Lattice parameters (Å, degrees): 4.8010 4.8010 4.1912 90.00 90.00 103.26
Atoms (fractional coordinates):
Sc1 0.0000 0.0000 0.0000
Te1 0.2867 0.7133 0.5000
Te2 0.7133 0.2867 0.5000
Os1 0.5000 0.5000 0.0000

Properties
Energy above the most stable polymorph in this dataset   411 meV per atom
Energy relative to the elements, uncorrected   0.05 eV/atom
SG   Cmmm (65)

***

# 4
Density functional theory data (PBE) for an optimized crystal structure of ScTlTe2Os.

Lattice parameters (Å, degrees): 5.6396 5.6396 5.4066 90.00 90.00 90.00
Atoms (fractional coordinates):
Sc1 0.0000 0.0000 0.0000
Tl1 0.0000 0.0000 0.5000
Te1 0.0000 0.5000 0.5000
Te2 0.5000 0.0000 0.5000
Os1 0.5000 0.5000 0.0000

Properties
Energy relative to the elements, uncorrected   1.69 eV/atom
SG   P4/mmm (123)

***

# 5
Density functional theory data (PBE) for an optimized crystal structure of Th3ScOs8.

Lattice parameters (Å, degrees): 9.3876 9.3876 9.3876 33.47 33.47 33.47
Atoms (fractional coordinates):
Th1 0.0000 0.0000 0.0000
Th2 0.1263 0.1263 0.1263
Th3 0.5023 0.5023 0.5023
Sc1 0.6257 0.6257 0.6257
Os1 0.0582 0.5626 0.5626
Os2 0.0634 0.0634 0.5693
Os3 0.0634 0.5693 0.0634
Os4 0.3122 0.3122 0.3122
Os5 0.5626 0.0582 0.5626
Os6 0.5626 0.5626 0.0582
Os7 0.5693 0.0634 0.0634
Os8 0.8127 0.8127 0.8127

Properties
SG   R3m (160)

***

# 6
Density functional theory data (PBE) for an optimized crystal structure of Th2Sc3Os2.

Lattice parameters (Å, degrees): 6.2765 6.2765 6.0472 109.11 109.11 47.56
Atoms (fractional coordinates):
Th1 0.1440 0.1440 0.3186
Th2 0.8560 0.8560 0.6814
Sc1 0.3439 0.3439 0.9933
Sc2 0.5000 0.5000 0.5000
Sc3 0.6561 0.6561 0.0067
Os1 0.1048 0.1048 0.7599
Os2 0.8952 0.8952 0.2401

Properties
Energy above the most stable polymorph in this dataset   65 meV per atom
SG   C2/m (12)

***

no.,total DFT energy (no corrections) (eV/f.u.)
1,-34.51
2,-25.05
3,-23.63
4,-17.75
5,-121.49
6,-57.87